one | Compound: SiBr2F
Source: Alexandria
Functional: PBE
Structure: relaxed

Summary:
- Total magnetic moment: 0.0 μB/cell
- Fermi-level density of states: 24.41 states/eV per cell

Unit cell a=7.0631 b=7.0631 c=7.3718 alpha=90.00 beta=90.00 gamma=90.00
Closest atoms and distances in Å follow each position.
Space group I-42d (No. 122)
Asymmetric unit:
Si (0.0000, 0.0000, 0.0000) [4 per cell]  4 Br 2.50
Br (0.2143, 0.2500, 0.1250) [8 per cell]  2 Si 2.50
F (0.0000, 0.0000, 0.5000) [4 per cell]  4 Br 2.84

two | Compound: SiBr2F
Source: Alexandria
Functional: PBE
Structure: relaxed

Summary:
- Total magnetic moment: 0.0 μB/cell
- Fermi-level density of states: 1.29 states/eV per cell

Unit cell a=4.5616 b=5.0808 c=6.4475 alpha=104.11 beta=92.41 gamma=90.10
Closest atoms and distances in Å follow each position.
Space group P1 (No. 1)
Asymmetric unit:
Si (0.0000, 0.0000, 0.0000) [1 per cell]  1 F 1.62
Br (0.5020, 0.8295, 0.0402) [1 per cell]  2 Si 2.48
Br (0.9818, 0.1116, 0.6846) [1 per cell]  1 Si 2.24
F (0.0108, 0.2866, 0.1794) [1 per cell]  1 Si 1.62

two is preferred energetically. Next in line: 1002 meV per atom higher.